# BaAgSb3

A geometry-optimized BaAgSb3 structure (PBE, Alexandria via LeMat-Bulk).

- Raw formation energy: -106.0 meV per atom
- DFT total energy: -3.534 eV/atom
- N(E_F): 3.6 states/eV/f.u.
- Distance to the lowest polymorph of the same formula: 245 meV per atom

a = 5.506 Å, b = 5.506 Å, c = 5.506 Å
α = 90.00°, β = 90.00°, γ = 90.00°
Space group Pm-3m (No. 221)
Asymmetric unit:
Ba (0.000, 0.000, 0.000) (multiplicity 1)
Ag (0.500, 0.500, 0.500) (multiplicity 1)
Sb (0.000, 0.500, 0.500) (multiplicity 3)

***

# Ba3AgSb

A geometry-optimized Ba3AgSb structure (PBE, Alexandria via LeMat-Bulk).

- Raw formation energy: -231.6 meV per atom
- DFT total energy: -2.780 eV/atom
- N(E_F): 5.4 states/eV/f.u.
- Distance to the lowest polymorph of the same formula: 0 meV per atom

a = 6.655 Å, b = 6.655 Å, c = 6.655 Å
α = 90.00°, β = 90.00°, γ = 90.00°
Space group Pm-3m (No. 221)
Asymmetric unit:
Ba (0.000, 0.000, 0.500) (multiplicity 3)
Ag (0.500, 0.500, 0.500) (multiplicity 1)
Sb (0.000, 0.000, 0.000) (multiplicity 1)

***

# BaAg6Sb2

A geometry-optimized BaAg6Sb2 structure (PBE, Alexandria via LeMat-Bulk).

- Raw formation energy: -228.3 meV per atom
- DFT total energy: -3.259 eV/atom
- N(E_F): 3.1 states/eV/f.u.

a = 4.706 Å, b = 4.706 Å, c = 9.750 Å
α = 90.00°, β = 90.00°, γ = 90.00°
Space group P4/mmm (No. 123)
Asymmetric unit:
Ba (0.000, 0.000, 0.000) (multiplicity 1)
Ag (0.000, 0.000, 0.500) (multiplicity 1)
Ag (0.000, 0.500, 0.327) (multiplicity 4)
Ag (0.500, 0.500, 0.500) (multiplicity 1)
Sb (0.500, 0.500, 0.168) (multiplicity 2)